Entry from the Alexandria database: P after structural relaxation (PBE).

Lattice parameters (Å, degrees): 4.5747 3.3030 5.8455 90.00 101.80 90.00
With the nearest neighbours (Å) after each atom.
Space group P2/m (No. 10)
Inequivalent atoms, fractional coordinates:
P: 0.0400 0.0000 0.3151 x2  3 P 2.22-2.26
P: 0.3656 0.5000 0.3149 x2  3 P 2.22-2.26

Computed properties:
ΔE to the lowest computed polymorph = 0.039 eV/atom
ΔE_f = 0.892 kcal/mol of atoms

---

Entry from the Alexandria database: P after structural relaxation (PBE).

Lattice parameters (Å, degrees): 5.9970 11.7532 11.8477 94.62 99.49 100.99
With the nearest neighbours (Å) after each atom.
Space group P-1 (No. 2)
Inequivalent atoms, fractional coordinates:
P: 0.0007 0.3660 0.1945 x2  3 P 2.20-2.21
P: 0.0573 0.8748 0.1366 x2  3 P 2.20-2.21
P: 0.0744 0.4997 0.6849 x2  3 P 2.20-2.21
P: 0.1514 0.5511 0.1902 x2  3 P 2.20-2.21
P: 0.1999 0.0147 0.8557 x2  3 P 2.20-2.21
P: 0.2225 0.5149 0.8695 x2  3 P 2.20-2.21
P: 0.2372 0.1274 0.4407 x2  3 P 2.20-2.21
P: 0.2366 0.1788 0.7765 x2  3 P 2.20-2.21
P: 0.2939 0.1830 0.9657 x2  3 P 2.20-2.21
P: 0.3920 0.8171 0.4842 x2  3 P 2.20-2.21
P: 0.4016 0.3136 0.4654 x2  3 P 2.20-2.21
P: 0.4876 0.1952 0.3326 x2  3 P 2.20-2.21

Computed properties:
N(E_F) = 0.0 states/eV/cell
ΔE to the lowest computed polymorph = 0.141 eV/atom
ΔE_f = 3.253 kcal/mol of atoms